# ZnCuSiOs

A relaxed structure of ZnCuSiOs (GGA-PBE, OQMD).

Polymorph energy (0 for the lowest one) in eV/atom: 0.450
Total magnetic moment in μB per formula unit: 0.0

The structure in POSCAR format:
```
ZnCuSiOs
1.0
0.444 2.754 3.196
-2.473 -0.317 3.433
1.650 -1.282 3.692
Si Os Zn Cu
1 1 1 1
Direct
0.000 0.000 0.000
0.500 0.500 0.500
0.250 0.250 0.250
0.750 0.750 0.750
```

---

# DyTmCSe

A relaxed structure of DyTmCSe (GGA-PBE, OQMD).

Total magnetic moment in μB per formula unit: 0.0
Calculated total energy in eV/atom: -6.61

The structure in POSCAR format:
```
DyTmCSe
1.0
-1.603 -0.036 -3.367
-1.463 -2.005 2.784
-7.490 10.264 3.455
Tm Dy C Se
2 2 2 2
Direct
0.667 0.333 0.598
0.333 0.667 0.402
0.667 0.333 0.898
0.333 0.667 0.102
0.000 0.000 0.500
0.000 0.000 0.000
0.667 0.333 0.254
0.333 0.667 0.746
```

---

# ErGaPb

A relaxed structure of ErGaPb (GGA-PBE, OQMD).

Total magnetic moment in μB per formula unit: 0.0
Calculated total energy in eV/atom: -3.92

The structure in POSCAR format:
```
ErGaPb
1.0
-1.833 2.362 4.533
1.833 -2.362 4.533
1.833 2.362 -4.533
Ga Er Pb
1 1 1
Direct
0.652 0.652 0.000
0.988 0.988 0.000
0.332 0.332 0.000
```

---

# LiAl2Ir

A relaxed structure of LiAl2Ir (GGA-PBE, OQMD).

Polymorph energy (0 for the lowest one) in eV/atom: 0.000
Total magnetic moment in μB per formula unit: 0.0

The structure in POSCAR format:
```
LiAl2Ir
1.0
4.267 0.000 0.000
0.000 6.030 0.000
0.000 0.000 8.524
Al Ir Li
8 4 4
Direct
0.747 0.000 0.125
0.253 0.000 0.875
0.753 0.500 0.625
0.253 0.500 0.875
0.247 0.000 0.375
0.247 0.500 0.375
0.747 0.500 0.125
0.753 0.000 0.625
0.747 0.250 0.375
0.253 0.750 0.625
0.247 0.750 0.125
0.753 0.250 0.875
0.246 0.250 0.125
0.254 0.250 0.625
0.746 0.750 0.375
0.754 0.750 0.875
```

---

# DyAlGa2

A relaxed structure of DyAlGa2 (GGA-PBE, OQMD).

Total magnetic moment in μB per formula unit: 0.0
Calculated total energy in eV/atom: -4.10

The structure in POSCAR format:
```
DyAlGa2
1.0
-4.372 1.197 0.048
-1.323 -4.978 3.620
0.203 0.490 6.273
Dy Ga Al
2 4 2
Direct
0.500 0.332 0.332
0.000 0.669 0.669
0.000 0.705 0.152
0.000 0.149 0.149
0.000 0.152 0.705
0.500 0.851 0.851
0.500 0.290 0.852
0.500 0.852 0.290
```

---

# MoPdW

A relaxed structure of MoPdW (GGA-PBE, OQMD).

Polymorph energy (0 for the lowest one) in eV/atom: 0.000
Total magnetic moment in μB per formula unit: 0.0
ΔH_f (0 K) in meV/atom: 863

The structure in POSCAR format:
```
MoPdW
1.0
0.758 1.090 4.076
-3.238 0.204 2.802
-0.338 -2.939 3.103
Mo Pd W
1 1 1
Direct
0.500 0.500 0.500
0.000 0.000 0.000
0.250 0.250 0.250
```

---

# NbNi2Sb

A relaxed structure of NbNi2Sb (GGA-PBE, OQMD).

Total magnetic moment in μB per formula unit: 0.0
Calculated total energy in eV/atom: -6.32

The structure in POSCAR format:
```
NbNi2Sb
1.0
-0.057 -4.255 1.237
1.896 -1.225 3.814
-2.518 -1.281 3.415
Sb Ni Nb
1 2 1
Direct
0.500 0.500 0.500
0.000 0.000 0.000
0.750 0.750 0.750
0.250 0.250 0.250
```

---

# RbNbTc

A relaxed structure of RbNbTc (GGA-PBE, OQMD).

Polymorph energy (0 for the lowest one) in eV/atom: 0.000
Total magnetic moment in μB per formula unit: 0.1

The structure in POSCAR format:
```
RbNbTc
1.0
0.000 3.297 3.297
3.297 0.000 3.297
3.297 3.297 0.000
Rb Tc Nb
1 1 1
Direct
0.750 0.750 0.750
0.000 0.000 0.000
0.250 0.250 0.250
```

---

# Ba3Zr2O6

A relaxed structure of Ba3Zr2O6 (GGA-PBE, OQMD).

Total magnetic moment in μB per formula unit: 0.0
Calculated total energy in eV/atom: -7.61

The structure in POSCAR format:
```
Ba3Zr2O6
1.0
-2.111 2.111 10.801
2.111 -2.111 10.801
2.111 2.111 -10.801
Zr O Ba
2 6 3
Direct
0.904 0.904 0.000
0.096 0.096 0.000
0.906 0.406 0.500
0.594 0.094 0.500
0.806 0.806 0.000
0.406 0.906 0.500
0.094 0.594 0.500
0.194 0.194 0.000
0.500 0.500 0.000
0.684 0.684 0.000
0.316 0.316 0.000
```

---

# NbNiPd

A relaxed structure of NbNiPd (GGA-PBE, OQMD).

Polymorph energy (0 for the lowest one) in eV/atom: 0.201
Total magnetic moment in μB per formula unit: 0.0
ΔH_f (0 K) in meV/atom: 345

The structure in POSCAR format:
```
NbNiPd
1.0
1.395 0.848 3.885
3.851 -1.246 1.175
3.054 2.848 0.568
Pd Nb Ni
1 1 1
Direct
0.750 0.750 0.750
0.000 0.000 0.000
0.250 0.250 0.250
```

---

# SrHfGa2

A relaxed structure of SrHfGa2 (GGA-PBE, OQMD).

Total magnetic moment in μB per formula unit: 1.0
Calculated total energy in eV/atom: -3.97

The structure in POSCAR format:
```
SrHfGa2
1.0
0.000 3.609 3.609
3.609 0.000 3.609
3.609 3.609 0.000
Ga Hf Sr
2 1 1
Direct
0.500 0.500 0.500
0.750 0.750 0.750
0.250 0.250 0.250
0.000 0.000 0.000
```

---

# Hg2SbPt

A relaxed structure of Hg2SbPt (GGA-PBE, OQMD).

Total magnetic moment in μB per formula unit: 0.0
Calculated total energy in eV/atom: -2.47

The structure in POSCAR format:
```
Hg2SbPt
1.0
0.000 3.514 3.514
3.514 0.000 3.514
3.514 3.514 0.000
Pt Sb Hg
1 1 2
Direct
0.250 0.250 0.250
0.500 0.500 0.500
0.750 0.750 0.750
0.000 0.000 0.000
```

---

- What is the total magnetic moment in the seventh record?
  0.0 μB per formula unit

---

- The highest total magnetic moment belongs to which entry?
  SrHfGa2